VASP calculation (PBE+U) on a relaxed structure of CoSiO2F.

DFT total energy ... -5.89 eV/atom

The structure in POSCAR format:
```
CoSiO2F
1.0
3.513 0.000 0.000
0.000 3.513 0.000
0.000 0.000 3.754
Co Si O F
1 1 2 1
Cartesian
0.000 0.000 0.000
1.756 1.756 1.877
0.000 1.756 1.877
1.756 0.000 1.877
1.756 1.756 0.000
```